Computed, not measured: a relaxed structure of TcAgCl2 at the PBE level of DFT.

a = 3.1542 Å, b = 3.1542 Å, c = 32.1761 Å
α = 90.00°, β = 90.00°, γ = 120.00°
Space group R-3m (No. 166, hexagonal axes)
Symmetry-distinct sites (fractional):
Tc 0.0000 0.0000 0.0000 [3 per cell]
Ag 0.0000 0.0000 0.5000 [3 per cell]
Cl 0.0000 0.0000 0.2828 [6 per cell]

## Properties
DOS at the Fermi energy ... 1.55 states/eV/f.u.
Polymorph energy (0 for the lowest one) ... 95 meV per atom
Calculated volume ... 23.102 A^3/atom
DFT total energy ... -4.155 eV/atom
Uncorrected formation energy ... 0.07 eV/atom

Computed, not measured: a relaxed structure of Cs2U2S5 at the PBE level of DFT.

a = 15.1543 Å, b = 5.3266 Å, c = 8.6507 Å
α = 90.00°, β = 103.61°, γ = 90.00°
Space group C2/m (No. 12)
Symmetry-distinct sites (fractional):
Cs 0.1049 0.0000 0.3442 [4 per cell]
U 0.1526 0.5000 0.9037 [4 per cell]
S 0.0000 0.5000 0.0000 [2 per cell]
S 0.1413 0.5000 0.6155 [4 per cell]
S 0.1701 0.0000 0.9526 [4 per cell]

## Properties
DOS at the Fermi energy ... 14.82 states/eV/f.u.
Polymorph energy (0 for the lowest one) ... 151 meV per atom
Calculated volume ... 37.704 A^3/atom
DFT total energy ... -6.229 eV/atom
Uncorrected formation energy ... -1.24 eV/atom

Computed, not measured: a relaxed structure of BaMnAs at the PBE level of DFT.

a = 7.4643 Å, b = 7.4643 Å, c = 7.4643 Å
α = 90.00°, β = 90.00°, γ = 90.00°
Space group F-43m (No. 216)
Symmetry-distinct sites (fractional):
Ba 0.0000 0.0000 0.0000 [4 per cell]
Mn 0.2500 0.2500 0.2500 [4 per cell]
As 0.2500 0.2500 0.7500 [4 per cell]

## Properties
Calculated formation energy ... 0.5189 eV per atom
DOS at the Fermi energy ... 1.82 states/eV/f.u.
Calculated volume ... 34.656 A^3/atom
DFT total energy ... -4.728 eV/atom

Computed, not measured: a relaxed structure of La2DySn3Pt4 at the PBE level of DFT.

a = 4.6532 Å, b = 4.6532 Å, c = 11.0477 Å
α = 90.00°, β = 90.00°, γ = 90.00°
Space group P-4m2 (No. 115)
Symmetry-distinct sites (fractional):
La 0.0000 0.5000 0.2230 [2 per cell]
Dy 0.0000 0.0000 0.5000 [1 per cell]
Sn 0.0000 0.5000 0.8766 [2 per cell]
Sn 0.5000 0.5000 0.5000 [1 per cell]
Pt 0.0000 0.0000 0.0000 [1 per cell]
Pt 0.0000 0.5000 0.6405 [2 per cell]
Pt 0.5000 0.5000 0.0000 [1 per cell]

## Properties
Calculated formation energy ... -0.9625 eV per atom
DOS at the Fermi energy ... 7.18 states/eV/f.u.
Calculated volume ... 23.920 A^3/atom
DFT total energy ... -6.025 eV/atom

Computed, not measured: a relaxed structure of Pu2Ge3Ru5 at the PBE level of DFT.

a = 4.1917 Å, b = 24.9653 Å, c = 6.4126 Å
α = 90.00°, β = 90.00°, γ = 90.00°
Space group Cmc2_1 (No. 36)
Symmetry-distinct sites (fractional):
Pu 0.0000 0.0105 0.0000 [4 per cell]
Pu 0.0000 0.3264 0.9825 [4 per cell]
Ge 0.0000 0.1104 0.2223 [4 per cell]
Ge 0.0000 0.2723 0.4803 [4 per cell]
Ge 0.0000 0.4458 0.2261 [4 per cell]
Ru 0.0000 0.1051 0.6409 [4 per cell]
Ru 0.0000 0.2047 0.7675 [4 per cell]
Ru 0.0000 0.2087 0.1861 [4 per cell]
Ru 0.0000 0.3707 0.4856 [4 per cell]
Ru 0.0000 0.4465 0.8280 [4 per cell]

## Properties
Calculated formation energy ... -0.2699 eV per atom
DOS at the Fermi energy ... 18.45 states/eV/f.u.
Calculated volume ... 16.776 A^3/atom
DFT total energy ... -9.159 eV/atom

Computed, not measured: a relaxed structure of LiLaHg at the PBE level of DFT.

a = 3.6160 Å, b = 3.6160 Å, c = 7.2661 Å
α = 90.00°, β = 90.00°, γ = 120.00°
Space group P3m1 (No. 156)
Symmetry-distinct sites (fractional):
Li 0.0000 0.0000 0.0000 [1 per cell]
La 0.3333 0.6667 0.6055 [1 per cell]
Hg 0.6667 0.3333 0.2481 [1 per cell]

## Properties
Calculated formation energy ... -0.1217 eV per atom
DOS at the Fermi energy ... 2.76 states/eV/f.u.
Polymorph energy (0 for the lowest one) ... 234 meV per atom
Calculated volume ... 27.426 A^3/atom
DFT total energy ... -2.503 eV/atom

Computed, not measured: a relaxed structure of GeTeOsI2 at the PBE level of DFT.

a = 5.4733 Å, b = 5.4733 Å, c = 5.0929 Å
α = 90.00°, β = 90.00°, γ = 90.00°
Space group P4/mmm (No. 123)
Symmetry-distinct sites (fractional):
Ge 0.0000 0.0000 0.0000 [1 per cell]
Te 0.5000 0.5000 0.0000 [1 per cell]
Os 0.5000 0.5000 0.5000 [1 per cell]
I 0.0000 0.5000 0.5000 [2 per cell]

## Properties
DOS at the Fermi energy ... 4.77 states/eV/f.u.
Polymorph energy (0 for the lowest one) ... 0 meV per atom
Calculated volume ... 30.514 A^3/atom
DFT total energy ... -3.603 eV/atom
Uncorrected formation energy ... 0.81 eV/atom

Computed, not measured: a relaxed structure of TmPaN at the PBE level of DFT.

a = 5.6427 Å, b = 3.2303 Å, c = 12.5779 Å
α = 90.00°, β = 90.00°, γ = 90.00°
Space group Pnma (No. 62)
Symmetry-distinct sites (fractional):
Tm 0.2354 0.2500 0.0424 [4 per cell]
Pa 0.2402 0.2500 0.2984 [4 per cell]
N 0.0144 0.2500 0.8738 [4 per cell]

## Properties
DOS at the Fermi energy ... 3.77 states/eV/f.u.
Polymorph energy (0 for the lowest one) ... 0 meV per atom
Calculated volume ... 19.105 A^3/atom
DFT total energy ... -8.117 eV/atom
Uncorrected formation energy ... -0.69 eV/atom

Computed, not measured: a relaxed structure of SrZnPRu at the PBE level of DFT.

a = 4.0061 Å, b = 4.0061 Å, c = 11.1868 Å
α = 90.00°, β = 90.00°, γ = 90.00°
Space group P4/nmm (No. 129, origin choice 2)
Symmetry-distinct sites (fractional):
Sr 0.2500 0.2500 0.2456 [2 per cell]
Zn 0.2500 0.7500 0.5000 [2 per cell]
P 0.2500 0.2500 0.8922 [2 per cell]
Ru 0.2500 0.7500 0.0000 [2 per cell]

## Properties
Calculated formation energy ... -0.6111 eV per atom
DOS at the Fermi energy ... 2.57 states/eV/f.u.
Calculated volume ... 22.441 A^3/atom
DFT total energy ... -5.021 eV/atom

Computed, not measured: a relaxed structure of Cr2HgS4 at the PBE level of DFT.

a = 17.5199 Å, b = 2.9795 Å, c = 5.5423 Å
α = 90.00°, β = 92.94°, γ = 90.00°
Space group C2/m (No. 12)
Symmetry-distinct sites (fractional):
Cr 0.2460 0.0000 0.3005 [4 per cell]
Hg 0.0000 0.5000 0.0000 [2 per cell]
S 0.1574 0.5000 0.4131 [4 per cell]
S 0.1801 0.0000 0.9160 [4 per cell]

## Properties
DOS at the Fermi energy ... 2.48 states/eV/f.u.
Polymorph energy (0 for the lowest one) ... 75 meV per atom
Calculated volume ... 20.638 A^3/atom
DFT total energy ... -5.640 eV/atom
Uncorrected formation energy ... -0.49 eV/atom

Computed, not measured: a relaxed structure of ZrCrCu at the PBE level of DFT.

a = 6.0858 Å, b = 6.0858 Å, c = 6.0858 Å
α = 90.00°, β = 90.00°, γ = 90.00°
Space group F-43m (No. 216)
Symmetry-distinct sites (fractional):
Zr 0.0000 0.0000 0.0000 [4 per cell]
Cr 0.0000 0.0000 0.5000 [4 per cell]
Cu 0.2500 0.2500 0.7500 [4 per cell]

## Properties
Calculated formation energy ... 0.5004 eV per atom
DOS at the Fermi energy ... 2.93 states/eV/f.u.
Polymorph energy (0 for the lowest one) ... 460 meV per atom
Calculated volume ... 18.783 A^3/atom
DFT total energy ... -6.922 eV/atom

Computed, not measured: a relaxed structure of VSb4Pd15 at the PBE level of DFT.

a = 4.0284 Å, b = 4.0284 Å, c = 20.0995 Å
α = 90.00°, β = 90.00°, γ = 90.00°
Space group P4/mmm (No. 123)
Symmetry-distinct sites (fractional):
V 0.0000 0.0000 0.0000 [1 per cell]
Sb 0.0000 0.0000 0.1939 [2 per cell]
Sb 0.0000 0.0000 0.3977 [2 per cell]
Pd 0.0000 0.5000 0.0932 [4 per cell]
Pd 0.0000 0.5000 0.2972 [4 per cell]
Pd 0.0000 0.5000 0.5000 [2 per cell]
Pd 0.5000 0.5000 0.0000 [1 per cell]
Pd 0.5000 0.5000 0.1964 [2 per cell]
Pd 0.5000 0.5000 0.3988 [2 per cell]

## Properties
DOS at the Fermi energy ... 16.36 states/eV/f.u.
Calculated volume ... 16.308 A^3/atom
DFT total energy ... -5.510 eV/atom
Uncorrected formation energy ... -0.33 eV/atom

Computed, not measured: a relaxed structure of LiH2Au at the PBE level of DFT.

a = 3.2191 Å, b = 3.2191 Å, c = 14.2847 Å
α = 90.00°, β = 90.00°, γ = 120.00°
Space group R-3m (No. 166, hexagonal axes)
Symmetry-distinct sites (fractional):
Li 0.0000 0.0000 0.0000 [3 per cell]
H 0.0000 0.0000 0.3836 [6 per cell]
Au 0.0000 0.0000 0.5000 [3 per cell]

## Properties
Polymorph energy (0 for the lowest one) ... 0 meV per atom
Calculated volume ... 10.683 A^3/atom
DFT total energy ... -3.224 eV/atom

Computed, not measured: a relaxed structure of Ho2Co5Ge4 at the PBE level of DFT.

a = 5.3559 Å, b = 9.1995 Å, c = 13.8897 Å
α = 90.00°, β = 90.00°, γ = 90.00°
Space group Fmmm (No. 69)
Symmetry-distinct sites (fractional):
Ho 0.0000 0.0000 0.1284 [8 per cell]
Co 0.0000 0.0000 0.5000 [4 per cell]
Co 0.2500 0.2500 0.0000 [8 per cell]
Co 0.2500 0.2500 0.2500 [8 per cell]
Ge 0.0000 0.1565 0.3695 [16 per cell]

## Properties
Calculated formation energy ... -0.4715 eV per atom
DOS at the Fermi energy ... 6.22 states/eV/f.u.
Calculated volume ... 15.554 A^3/atom
DFT total energy ... -6.213 eV/atom

Computed, not measured: a relaxed structure of AgBi3C at the PBE level of DFT.

a = 4.9984 Å, b = 4.9984 Å, c = 4.9984 Å
α = 90.00°, β = 90.00°, γ = 90.00°
Space group Pm-3m (No. 221)
Symmetry-distinct sites (fractional):
Ag 0.0000 0.0000 0.0000 [1 per cell]
Bi 0.0000 0.5000 0.5000 [3 per cell]
C 0.5000 0.5000 0.5000 [1 per cell]

## Properties
Calculated formation energy ... 0.9710 eV per atom
DOS at the Fermi energy ... 2.13 states/eV/f.u.
Polymorph energy (0 for the lowest one) ... 0 meV per atom
Calculated volume ... 24.977 A^3/atom
DFT total energy ... -3.773 eV/atom

Computed, not measured: a relaxed structure of ScMo2Br at the PBE level of DFT.

a = 3.2396 Å, b = 5.2597 Å, c = 4.6291 Å
α = 90.00°, β = 92.68°, γ = 90.00°
Space group P2/m (No. 10)
Symmetry-distinct sites (fractional):
Sc 0.0000 0.0000 0.0000 [1 per cell]
Mo 0.2739 0.5000 0.1975 [2 per cell]
Br 0.5000 0.0000 0.5000 [1 per cell]

## Properties
DOS at the Fermi energy ... 2.65 states/eV/f.u.
Polymorph energy (0 for the lowest one) ... 381 meV per atom
Calculated volume ... 19.697 A^3/atom
DFT total energy ... -7.109 eV/atom
Uncorrected formation energy ... 0.31 eV/atom

Computed, not measured: a relaxed structure of LiReRh2 at the PBE level of DFT.

a = 2.8211 Å, b = 4.5882 Å, c = 8.8564 Å
α = 90.00°, β = 90.00°, γ = 90.00°
Space group Cmmm (No. 65)
Symmetry-distinct sites (fractional):
Li 0.0000 0.0000 0.0000 [2 per cell]
Re 0.0000 0.0000 0.5000 [2 per cell]
Rh 0.0000 0.5000 0.2473 [4 per cell]

## Properties
Calculated formation energy ... 0.0643 eV per atom
DOS at the Fermi energy ... 3.01 states/eV/f.u.
Calculated volume ... 14.329 A^3/atom
DFT total energy ... -7.202 eV/atom

Computed, not measured: a relaxed structure of Pu2AlFe at the PBE level of DFT.

a = 3.5453 Å, b = 3.5453 Å, c = 4.8939 Å
α = 90.00°, β = 90.00°, γ = 90.00°
Space group P4/mmm (No. 123)
Symmetry-distinct sites (fractional):
Pu 0.0000 0.5000 0.0000 [2 per cell]
Al 0.0000 0.0000 0.5000 [1 per cell]
Fe 0.5000 0.5000 0.5000 [1 per cell]

## Properties
Calculated formation energy ... 0.1977 eV per atom
DOS at the Fermi energy ... 7.70 states/eV/f.u.
Calculated volume ... 15.378 A^3/atom
DFT total energy ... -10.020 eV/atom

Computed, not measured: a relaxed structure of TaTeRu at the PBE level of DFT.

a = 3.0918 Å, b = 3.3700 Å, c = 11.8449 Å
α = 90.00°, β = 90.00°, γ = 90.00°
Space group Pmm2 (No. 25)
Symmetry-distinct sites (fractional):
Ta 0.0000 0.0000 0.0000 [1 per cell]
Ta 0.0000 0.0000 0.2666 [1 per cell]
Te 0.0000 0.0000 0.5361 [1 per cell]
Te 0.5000 0.5000 0.8434 [1 per cell]
Ru 0.5000 0.5000 0.1475 [1 per cell]
Ru 0.5000 0.5000 0.4021 [1 per cell]

## Properties
DOS at the Fermi energy ... 2.34 states/eV/f.u.
Polymorph energy (0 for the lowest one) ... 115 meV per atom
Calculated volume ... 20.570 A^3/atom
DFT total energy ... -8.210 eV/atom
Uncorrected formation energy ... -0.12 eV/atom

Computed, not measured: a relaxed structure of K2Ga4Pt3 at the PBE level of DFT.

a = 5.6205 Å, b = 17.6272 Å, c = 7.7770 Å
α = 90.00°, β = 90.00°, γ = 90.00°
Space group Cmce (No. 64)
Symmetry-distinct sites (fractional):
K 0.0000 0.1042 0.1270 [8 per cell]
Ga 0.0000 0.2213 0.4784 [8 per cell]
Ga 0.2500 0.0621 0.7500 [8 per cell]
Pt 0.0000 0.0000 0.5000 [4 per cell]
Pt 0.2500 0.2083 0.7500 [8 per cell]

## Properties
Calculated formation energy ... -0.4358 eV per atom
DOS at the Fermi energy ... 2.82 states/eV/f.u.
Polymorph energy (0 for the lowest one) ... 0 meV per atom
Calculated volume ... 21.403 A^3/atom
DFT total energy ... -4.039 eV/atom